ZrNpV2O6: relaxed, GGA+U.

Values from the calculation:
energy: -9.15 eV/atom

Cell: 5.4865 5.4867 5.8733 Å, 62.17 62.17 60.01°
Fractional coordinates of all 10 atoms:
V (0.5156, 0.5157, 0.4530)
V (0.0155, 0.0155, 0.9535)
O (0.7158, 0.1348, 0.7528)
Zr (0.3128, 0.3128, 0.0615)
O (0.9211, 0.6093, 0.2401)
O (0.3966, 0.7158, 0.7529)
O (0.2294, 0.9212, 0.2403)
O (0.6092, 0.2294, 0.2402)
Np (0.8107, 0.8106, 0.5680)
O (0.1348, 0.3965, 0.7528)